1.
This record from the Alexandria database describes an optimized crystal structure of Ca2ScO3. The functional is GGA-PBE.

Lattice parameters (Å, degrees): 4.7095 6.5984 5.7718 106.58 114.08 90.00
Atoms (fractional coordinates):
Sc 0.0000 0.7500 0.0000
Ca 0.6674 0.0836 0.3349
O 0.1518 0.5761 0.3036
O 0.4999 0.2500 0.0000
Sc 0.0000 0.2500 0.0000
O 0.1518 0.0761 0.3036
O 0.5001 0.7500 0.0000
Ca 0.3326 0.9164 0.6651
Ca 0.6675 0.5836 0.3349
O 0.8482 0.4239 0.6964
O 0.8482 0.9239 0.6964
Ca 0.3325 0.4164 0.6651

## Properties
- DFT total energy: -0.5211 Ry/atom
- N(E_F): 1.30 states/eV/f.u.
- Space group: Immm
- E_form (uncorrected): -2.888 eV/atom

2.
This record from the Alexandria database describes an optimized crystal structure of Ca3Sc5O12. The functional is GGA-PBE.

Lattice parameters (Å, degrees): 11.3019 11.3019 11.3019 109.47 109.47 109.47
Last column: magnetic moment on the atom in μB.
Atoms (fractional coordinates):
Ca 0.8750 0.7500 0.1250  0.00
Ca 0.1250 0.2500 0.8750  0.00
O 0.9133 0.8225 0.7925  0.23
O 0.5867 0.7075 0.6775  0.23
O 0.3225 0.7925 0.4133  0.23
O 0.1775 0.0908 0.9700  0.23
O 0.2925 0.8792 0.9700  0.23
Sc 0.5000 0.5000 0.5000  -0.03
O 0.6775 0.4700 0.5908  0.23
O 0.7925 0.3225 0.9133  0.23
O 0.2075 0.5300 0.6208  0.23
Sc 0.0000 0.5000 0.0000  -0.03
O 0.1775 0.0867 0.7075  0.23
O 0.3792 0.9700 0.7925  0.23
O 0.7075 0.5867 0.1775  0.23
O 0.4133 0.1208 0.5908  0.23
O 0.5908 0.9700 0.6775  0.23
O 0.5300 0.3225 0.9092  0.23
Ca 0.2500 0.1250 0.3750  0.00
Sc 0.6250 0.7500 0.8750  -0.01
O 0.8792 0.5867 0.9092  0.23
O 0.9092 0.8225 0.5300  0.23
Sc 0.1250 0.7500 0.3750  -0.01
O 0.4700 0.7925 0.8792  0.23
O 0.0300 0.6208 0.7075  0.23
O 0.4133 0.2925 0.3225  0.23
Ca 0.8750 0.1250 0.2500  0.00
Ca 0.7500 0.8750 0.6250  0.00
O 0.5867 0.8792 0.4092  0.23
O 0.7075 0.1208 0.0300  0.23
Sc 0.3750 0.2500 0.1250  -0.01
Ca 0.3750 0.6250 0.2500  0.00
Sc 0.2500 0.3750 0.6250  -0.01
O 0.6208 0.0300 0.2075  0.23
Sc 0.7500 0.1250 0.8750  -0.01
O 0.4092 0.3792 0.5867  0.23
Sc 0.0000 0.5000 0.5000  -0.03
O 0.7925 0.4700 0.3792  0.23
Sc 0.0000 0.0000 0.5000  -0.03
Sc 0.1250 0.3750 0.2500  -0.01
O 0.2925 0.4133 0.8225  0.23
O 0.5908 0.6208 0.4133  0.23
O 0.9700 0.3792 0.2925  0.23
O 0.0908 0.1775 0.4700  0.23
Sc 0.5000 0.0000 0.5000  -0.03
O 0.2075 0.6775 0.0867  0.23
O 0.0867 0.1775 0.2075  0.23
O 0.4092 0.0300 0.3225  0.23
Ca 0.7500 0.3750 0.1250  0.00
O 0.0300 0.4092 0.8225  0.23
Sc 0.8750 0.6250 0.7500  -0.01
O 0.9700 0.5908 0.1775  0.23
O 0.4700 0.6775 0.0908  0.23
O 0.6208 0.5908 0.9133  0.23
O 0.3225 0.5300 0.4092  0.23
O 0.1208 0.7075 0.5300  0.23
O 0.6775 0.2075 0.5867  0.23
Ca 0.1250 0.8750 0.7500  0.00
O 0.3792 0.4092 0.0867  0.23
Sc 0.3750 0.1250 0.7500  -0.01
Sc 0.5000 0.5000 0.0000  -0.03
O 0.0908 0.9133 0.1208  0.23
O 0.8225 0.9092 0.0300  0.23
O 0.0867 0.9092 0.3792  0.23
Sc 0.5000 0.0000 0.0000  -0.03
O 0.9092 0.0867 0.8792  0.23
Ca 0.6250 0.3750 0.7500  0.00
O 0.9133 0.0908 0.6208  0.23
O 0.1208 0.4133 0.0908  0.23
Ca 0.3750 0.7500 0.6250  0.00
O 0.5300 0.2075 0.1208  0.23
Ca 0.2500 0.6250 0.8750  0.00
O 0.8792 0.2925 0.4700  0.23
Ca 0.6250 0.2500 0.3750  0.00
Sc 0.6250 0.8750 0.2500  -0.01
Sc 0.0000 0.0000 0.0000  -0.03
O 0.8225 0.9133 0.2925  0.23
Sc 0.7500 0.6250 0.3750  -0.01
Sc 0.8750 0.2500 0.6250  -0.01
Sc 0.2500 0.8750 0.1250  -0.01

## Properties
- DFT total energy: -0.5694 Ry/atom
- N(E_F): 13.55 states/eV/f.u.
- Space group: Ia-3d
- E_form (uncorrected): -2.889 eV/atom

3.
This record from the Alexandria database describes an optimized crystal structure of CaSc2O2. The functional is GGA-PBE.

Lattice parameters (Å, degrees): 3.7639 3.7639 8.2512 76.82 76.82 90.00
Atoms (fractional coordinates):
O 0.2500 0.7500 0.5000
O 0.7500 0.2500 0.5000
Sc 0.6925 0.6925 0.6150
Sc 0.3075 0.3075 0.3850
Ca 0.0000 0.0000 0.0000

## Properties
- DFT total energy: -0.5254 Ry/atom
- N(E_F): 3.20 states/eV/f.u.
- Space group: I4/mmm
- E_form (uncorrected): -2.232 eV/atom

Respective size of the total moment values: 0.000; 12.565; 0.000 μB/cell.